No. 1
DFT (PBE) results for crystalline ScPt2Br at its relaxed geometry.

Computed properties:
**Theoretical density**: 11.0 g/cm3
**Space group**: R-3m, No. 166
**Uncorrected formation energy**: -336 meV per atom
**Total energy**: -5.36 eV per atom

```
ScPt2Br
1.0
1.5668 0.9046 9.1824
-1.5668 0.9046 9.1824
0.0000 -1.8092 9.1824
Sc Pt Br
1 2 1
direct
0.0000 0.0000 0.0000 Sc
0.2614 0.2614 0.2614 Pt
0.7386 0.7386 0.7386 Pt
0.5000 0.5000 0.5000 Br
```

=====

No. 2
DFT (PBE) results for crystalline ZnSbAu2 at its relaxed geometry.

Computed properties:
**Theoretical density**: 11.9 g/cm3
**Space group**: C2/m, No. 12
**Uncorrected formation energy**: -65 meV per atom
**Total energy**: -3.05 eV per atom

```
ZnSbAu2
1.0
4.1420 -1.6681 0.0000
4.1420 1.6681 0.0000
-1.3008 0.0000 5.8468
Zn Sb Au
1 1 2
direct
0.0000 0.0000 0.0000 Zn
0.5000 0.5000 0.5000 Sb
0.2604 0.2604 0.7907 Au
0.7396 0.7396 0.2093 Au
```

=====

No. 3
DFT (PBE) results for crystalline ScPaZn2 at its relaxed geometry.

Computed properties:
**Theoretical density**: 8.6 g/cm3
**Space group**: P4/mmm, No. 123
**ΔE_f**: -170.5 meV/atom
**Total energy**: -4.76 eV per atom

```
ScPaZn2
1.0
3.1058 0.0000 0.0000
0.0000 3.1058 0.0000
0.0000 0.0000 8.1438
Sc Pa Zn
1 1 2
direct
0.0000 0.0000 0.0000 Sc
0.0000 0.0000 0.5000 Pa
0.5000 0.5000 0.2317 Zn
0.5000 0.5000 0.7683 Zn
```

=====

No. 4
DFT (PBE) results for crystalline V4RuRh7 at its relaxed geometry.

Computed properties:
**Theoretical density**: 9.3 g/cm3
**Space group**: C2/m, No. 12
**ΔE_f**: 150.2 meV/atom
**Total energy**: -7.95 eV per atom

```
V4RuRh7
1.0
5.6016 -2.2641 0.0000
5.6016 2.2641 0.0000
-5.1493 0.0000 7.2421
V Ru Rh
4 1 7
direct
0.0746 0.0746 0.2813 V
0.2139 0.2139 0.8370 V
0.7861 0.7861 0.1630 V
0.9254 0.9254 0.7187 V
0.5000 0.5000 0.5000 Ru
0.0000 0.0000 0.5000 Rh
0.1546 0.1546 0.0947 Rh
0.2855 0.2855 0.6210 Rh
0.4207 0.4207 0.1443 Rh
0.5793 0.5793 0.8557 Rh
0.7145 0.7145 0.3790 Rh
0.8454 0.8454 0.9053 Rh
```

=====

No. 5
DFT (PBE) results for crystalline Ba7PtAu4 at its relaxed geometry.

Computed properties:
**Theoretical density**: 6.6 g/cm3
**Space group**: Cm, No. 8
**ΔE_f**: -638.0 meV/atom
**Total energy**: -3.36 eV per atom

```
Ba7PtAu4
1.0
7.7662 -2.3152 0.0000
7.7662 2.3152 0.0000
-3.6748 0.0000 13.6272
Ba Pt Au
7 1 4
direct
0.0000 0.0000 0.0000 Ba
0.2165 0.2165 0.8536 Ba
0.2882 0.2882 0.4119 Ba
0.5246 0.5246 0.2768 Ba
0.5990 0.5990 0.5873 Ba
0.7486 0.7486 0.1400 Ba
0.9087 0.9087 0.6830 Ba
0.1390 0.1390 0.2093 Pt
0.2537 0.2537 0.6343 Au
0.3722 0.3722 0.0630 Au
0.5543 0.5543 0.8243 Au
0.9541 0.9541 0.4486 Au
```

=====

No. 6
DFT (PBE) results for crystalline Rb2NbPtCl6 at its relaxed geometry.

Computed properties:
**Theoretical density**: 3.6 g/cm3
**Space group**: I4/mmm, No. 139
**Uncorrected formation energy**: -1130 meV per atom
**Total energy**: -4.04 eV per atom

```
Rb2NbPtCl6
1.0
-4.0757 4.0757 4.6459
4.0757 -4.0757 4.6459
4.0757 4.0757 -4.6459
Rb Nb Pt Cl
2 1 1 6
direct
0.2500 0.7500 0.5000 Rb
0.7500 0.2500 0.5000 Rb
0.0000 0.0000 0.0000 Nb
0.5000 0.5000 0.0000 Pt
0.2144 0.2144 0.4288 Cl
0.2144 0.7856 0.0000 Cl
0.2597 0.2597 0.0000 Cl
0.7403 0.7403 0.0000 Cl
0.7856 0.2144 0.0000 Cl
0.7856 0.7856 0.5712 Cl
```

=====

No. 7
DFT (PBE) results for crystalline Tl3As5Br12 at its relaxed geometry.

Computed properties:
**Theoretical density**: 4.2 g/cm3
**Space group**: Ia-3d, No. 230
**Uncorrected formation energy**: -194 meV per atom
**Total energy**: -2.72 eV per atom

```
Tl3As5Br12
1.0
-9.1641 9.1641 9.1641
9.1641 -9.1641 9.1641
9.1641 9.1641 -9.1641
Tl As Br
12 20 48
direct
0.1250 0.2500 0.3750 Tl
0.1250 0.3750 0.7500 Tl
0.2500 0.3750 0.1250 Tl
0.2500 0.8750 0.6250 Tl
0.3750 0.1250 0.2500 Tl
0.3750 0.7500 0.1250 Tl
0.6250 0.2500 0.8750 Tl
0.6250 0.8750 0.7500 Tl
0.7500 0.1250 0.3750 Tl
0.7500 0.6250 0.8750 Tl
0.8750 0.6250 0.2500 Tl
0.8750 0.7500 0.6250 Tl
0.0000 0.0000 0.0000 As
0.0000 0.0000 0.5000 As
0.0000 0.5000 0.0000 As
0.0000 0.5000 0.5000 As
0.1250 0.7500 0.8750 As
0.1250 0.8750 0.2500 As
0.2500 0.1250 0.8750 As
0.2500 0.6250 0.3750 As
0.3750 0.2500 0.6250 As
0.3750 0.6250 0.7500 As
0.5000 0.0000 0.0000 As
0.5000 0.0000 0.5000 As
0.5000 0.5000 0.0000 As
0.5000 0.5000 0.5000 As
0.6250 0.3750 0.2500 As
0.6250 0.7500 0.3750 As
0.7500 0.3750 0.6250 As
0.7500 0.8750 0.1250 As
0.8750 0.1250 0.7500 As
0.8750 0.2500 0.1250 As
0.0029 0.1817 0.1068 Br
0.0029 0.3212 0.8960 Br
0.0749 0.6817 0.6788 Br
0.0749 0.8932 0.3960 Br
0.1040 0.6068 0.4251 Br
0.1040 0.9971 0.6788 Br
0.1068 0.0029 0.1817 Br
0.1068 0.6040 0.9251 Br
0.1788 0.1817 0.5749 Br
0.1788 0.4971 0.6040 Br
0.1817 0.1068 0.0029 Br
0.1817 0.5749 0.1788 Br
0.3183 0.3212 0.9251 Br
0.3183 0.4971 0.3932 Br
0.3212 0.8960 0.0029 Br
0.3212 0.9251 0.3183 Br
0.3932 0.3183 0.4971 Br
0.3932 0.5749 0.8960 Br
0.3960 0.0749 0.8932 Br
0.3960 0.8212 0.5029 Br
0.4251 0.1040 0.6068 Br
0.4251 0.8212 0.8183 Br
0.4971 0.3932 0.3183 Br
0.4971 0.6040 0.1788 Br
0.5029 0.3960 0.8212 Br
0.5029 0.6068 0.6817 Br
0.5749 0.1788 0.1817 Br
0.5749 0.8960 0.3932 Br
0.6040 0.1788 0.4971 Br
0.6040 0.9251 0.1068 Br
0.6068 0.4251 0.1040 Br
0.6068 0.6817 0.5029 Br
0.6788 0.0749 0.6817 Br
0.6788 0.1040 0.9971 Br
0.6817 0.5029 0.6068 Br
0.6817 0.6788 0.0749 Br
0.8183 0.4251 0.8212 Br
0.8183 0.8932 0.9971 Br
0.8212 0.5029 0.3960 Br
0.8212 0.8183 0.4251 Br
0.8932 0.3960 0.0749 Br
0.8932 0.9971 0.8183 Br
0.8960 0.0029 0.3212 Br
0.8960 0.3932 0.5749 Br
0.9251 0.1068 0.6040 Br
0.9251 0.3183 0.3212 Br
0.9971 0.6788 0.1040 Br
0.9971 0.8183 0.8932 Br
```

=====

No. 8
DFT (PBE) results for crystalline Mn2HgRu at its relaxed geometry.

Computed properties:
**Theoretical density**: 10.6 g/cm3
**Space group**: R-3m, No. 166
**ΔE_f**: 365.9 meV/atom
**Total energy**: -6.61 eV per atom

```
Mn2HgRu
1.0
1.4579 0.8417 8.7339
-1.4579 0.8417 8.7339
0.0000 -1.6834 8.7339
Mn Hg Ru
2 1 1
direct
0.2421 0.2421 0.2421 Mn
0.7579 0.7579 0.7579 Mn
0.0000 0.0000 0.0000 Hg
0.5000 0.5000 0.5000 Ru
```

=====

No. 9
DFT (PBE) results for crystalline Rb6Cd2Au at its relaxed geometry.

Computed properties:
**Theoretical density**: 3.2 g/cm3
**Space group**: Immm, No. 71
**ΔE_f**: -50.0 meV/atom
**Total energy**: -1.26 eV per atom

```
Rb6Cd2Au
1.0
-6.0478 6.2989 6.3939
6.0478 -6.2989 6.3939
6.0478 6.2989 -6.3939
Rb Cd Au
12 4 2
direct
0.0292 0.7976 0.2316 Rb
0.1689 0.2753 0.4442 Rb
0.1689 0.7247 0.8936 Rb
0.3348 0.0745 0.7397 Rb
0.3348 0.5951 0.2603 Rb
0.4340 0.2024 0.2316 Rb
0.5660 0.7976 0.7684 Rb
0.6652 0.4049 0.7397 Rb
0.6652 0.9255 0.2603 Rb
0.8311 0.2753 0.1064 Rb
0.8311 0.7247 0.5558 Rb
0.9708 0.2024 0.7684 Rb
0.1177 0.6177 0.5000 Cd
0.3848 0.5000 0.8848 Cd
0.6152 0.5000 0.1152 Cd
0.8823 0.3823 0.5000 Cd
0.0000 0.0000 0.0000 Au
0.5000 0.0000 0.5000 Au
```

=====

No. 10
DFT (PBE) results for crystalline CeCd11Ga at its relaxed geometry.

Computed properties:
**Theoretical density**: 8.1 g/cm3
**Space group**: C2/m, No. 12
**ΔE_f**: -75.9 meV/atom
**Total energy**: -1.54 eV per atom

```
CeCd11Ga
1.0
2.9510 -7.1203 0.0000
2.9510 7.1203 0.0000
-2.9411 0.0000 7.0197
Ce Cd Ga
1 11 1
direct
0.0000 0.0000 0.0000 Ce
0.0000 0.0000 0.5000 Cd
0.0000 0.5000 0.0000 Cd
0.0041 0.3541 0.3540 Cd
0.2905 0.5013 0.7860 Cd
0.3541 0.0041 0.3540 Cd
0.4987 0.7095 0.2140 Cd
0.5000 0.0000 0.0000 Cd
0.5013 0.2905 0.7860 Cd
0.6459 0.9959 0.6460 Cd
0.7095 0.4987 0.2140 Cd
0.9959 0.6459 0.6460 Cd
0.5000 0.5000 0.5000 Ga
```

=====

No. 11
DFT (PBE) results for crystalline HfAl2As at its relaxed geometry.

Computed properties:
**Theoretical density**: 6.6 g/cm3
**Space group**: I-42d, No. 122
**ΔE_f**: -59.4 meV/atom
**Total energy**: -5.58 eV per atom

```
HfAl2As
1.0
-3.7720 3.7720 2.7104
3.7720 -3.7720 2.7104
3.7720 3.7720 -2.7104
Hf Al As
2 4 2
direct
0.0000 0.0000 0.0000 Hf
0.7500 0.2500 0.5000 Hf
0.1596 0.6250 0.0346 Al
0.3750 0.4096 0.5346 Al
0.5904 0.1250 0.9654 Al
0.8750 0.8404 0.4654 Al
0.2500 0.7500 0.5000 As
0.5000 0.5000 0.0000 As
```

=====

No. 12
DFT (PBE) results for crystalline CaCeHgBi at its relaxed geometry.

Computed properties:
**Theoretical density**: 8.3 g/cm3
**Space group**: F-43m, No. 216
**ΔE_f**: -532.3 meV/atom
**Total energy**: -3.56 eV per atom

```
CaCeHgBi
1.0
0.0000 3.8928 3.8928
3.8928 0.0000 3.8928
3.8928 3.8928 0.0000
Ca Ce Hg Bi
1 1 1 1
direct
0.0000 0.0000 0.0000 Ca
0.5000 0.5000 0.5000 Ce
0.2500 0.2500 0.2500 Hg
0.7500 0.7500 0.7500 Bi
```

=====

Which of these has the highest theoretical density?
ZnSbAu2

=====

Repeat the fifth record exactly.
DFT (PBE) results for crystalline Ba7PtAu4 at its relaxed geometry.

Computed properties:
**Theoretical density**: 6.6 g/cm3
**Space group**: Cm, No. 8
**ΔE_f**: -638.0 meV/atom
**Total energy**: -3.36 eV per atom

```
Ba7PtAu4
1.0
7.7662 -2.3152 0.0000
7.7662 2.3152 0.0000
-3.6748 0.0000 13.6272
Ba Pt Au
7 1 4
direct
0.0000 0.0000 0.0000 Ba
0.2165 0.2165 0.8536 Ba
0.2882 0.2882 0.4119 Ba
0.5246 0.5246 0.2768 Ba
0.5990 0.5990 0.5873 Ba
0.7486 0.7486 0.1400 Ba
0.9087 0.9087 0.6830 Ba
0.1390 0.1390 0.2093 Pt
0.2537 0.2537 0.6343 Au
0.3722 0.3722 0.0630 Au
0.5543 0.5543 0.8243 Au
0.9541 0.9541 0.4486 Au
```

=====

Among the records above, which one has the lowest total energy?
V4RuRh7

=====

Which formula does entry 2 have?
ZnSbAu2